No. 1
Here is RuRh after structural relaxation from the Alexandria database. Energies are from PBEsol.

The magnetic moment is 0.00 Bohr magnetons per cell. The formation enthalpy at 0 K comes out at 27 meV per atom.

The space group is P-6m2 (No. 187) and the conventional cell measures 2.6839, 2.6839 and 4.2853 Å, with angles of 90.00, 90.00 and 120.00 degrees. The inequivalent atoms are Ru at (0.0000, 0.0000, 0.0000) and Rh at (0.3333, 0.6667, 0.5000).

---

No. 2
Here is Ti2AgPt2 after structural relaxation from the Alexandria database. Energies are from PBEsol.

The magnetic moment is 0.00 Bohr magnetons per cell. The formation enthalpy at 0 K comes out at -678 meV per atom.

The space group is P4/mbm (No. 127) and the conventional cell measures 7.5254, 7.5254 and 2.8309 Å, with angles of 90.00, 90.00 and 90.00 degrees. The inequivalent atoms are Ti at (0.1639, 0.3361, 0.0000), Ag at (0.0000, 0.0000, 0.5000) and Pt at (0.1328, 0.6328, 0.5000).